1.
DFT (GGA-PBEsol) results for an optimized crystal structure of Y2Si2Rh.

The raw total energy is -76.438 eV per cell. For the energy relative to the elements, uncorrected, the calculation gives -989 meV per atom. The value obtained for the density of states at the Fermi level is 0.51 states/eV/atom. The value obtained for the total moment is 0.000 μB per atom.

The space group is P4/mbm (No. 127) and the conventional cell measures 6.4864, 6.4864 and 4.4092 Å, with angles of 90.00, 90.00 and 90.00 degrees. The asymmetric unit holds Y at (0.1746, 0.3254, 0.0000), Si at (0.1338, 0.6338, 0.5000) and Rh at (0.0000, 0.0000, 0.5000).

---

2.
DFT (GGA-PBEsol) results for an optimized crystal structure of Y2Si5Rh3.

The raw total energy is -309.412 eV per cell. For the energy relative to the elements, uncorrected, the calculation gives -1056 meV per atom. The value obtained for the density of states at the Fermi level is 0.38 states/eV/atom. The value obtained for the total moment is 0.000 μB per atom.

The space group is C2/c (No. 15) and the conventional cell measures 10.9975, 11.7053 and 5.6256 Å, with angles of 90.00, 118.16 and 90.00 degrees. The asymmetric unit holds Y at (0.2331, 0.1344, 0.2401), Si at (0.0000, 0.0129, 0.2500), Si at (0.0000, 0.2759, 0.2500), Si at (0.0000, 0.2906, 0.7500), Si at (0.1635, 0.3966, 0.1627), Rh at (0.0000, 0.4986, 0.7500) and Rh at (0.0992, 0.1398, 0.6270).

---

3.
DFT (GGA-PBEsol) results for an optimized crystal structure of Y4Si5Rh9.

The raw total energy is -445.503 eV per cell. For the energy relative to the elements, uncorrected, the calculation gives -1068 meV per atom. The value obtained for the density of states at the Fermi level is 0.43 states/eV/atom. The value obtained for the total moment is 0.000 μB per atom.

The space group is R-3m (No. 166, hexagonal axes) and the conventional cell measures 5.4517, 5.4517 and 33.4649 Å, with angles of 90.00, 90.00 and 120.00 degrees. The asymmetric unit holds Y at (0.0000, 0.0000, 0.0511), Y at (0.0000, 0.0000, 0.1484), Si at (0.0000, 0.0000, 0.2783), Si at (0.0000, 0.0000, 0.3884), Si at (0.0000, 0.0000, 0.5000), Rh at (0.0000, 0.5000, 0.0000) and Rh at (0.9998, 0.4999, 0.1086).

---

4.
DFT (GGA-PBEsol) results for an optimized crystal structure of YSi2Rh.

The raw total energy is -29.018 eV per cell. For the energy relative to the elements, uncorrected, the calculation gives -641 meV per atom. The value obtained for the density of states at the Fermi level is 0.37 states/eV/atom. The value obtained for the total moment is 0.000 μB per atom.

The space group is P4/mmm (No. 123) and the conventional cell measures 3.0748, 3.0748 and 6.7752 Å, with angles of 90.00, 90.00 and 90.00 degrees. The asymmetric unit holds Y at (0.0000, 0.0000, 0.0000), Si at (0.5000, 0.5000, 0.3003) and Rh at (0.0000, 0.0000, 0.5000).

---

5.
DFT (GGA-PBEsol) results for an optimized crystal structure of Y3Si2Rh2.

The raw total energy is -220.573 eV per cell. For the energy relative to the elements, uncorrected, the calculation gives -987 meV per atom. The value obtained for the density of states at the Fermi level is 0.71 states/eV/atom. The value obtained for the total moment is 0.000 μB per atom.

The space group is Pbcm (No. 57) and the conventional cell measures 5.5199, 7.6659 and 12.9397 Å, with angles of 90.00, 90.00 and 90.00 degrees. The asymmetric unit holds Y at (0.1304, 0.2479, 0.2500), Y at (0.3622, 0.6071, 0.1024), Si at (0.1276, 0.2500, 0.0000), Si at (0.3591, 0.6043, 0.7500) and Rh at (0.1339, 0.5334, 0.5905).

---

6.
DFT (GGA-PBEsol) results for an optimized crystal structure of Y3Si3Rh2.

The raw total energy is -249.747 eV per cell. For the energy relative to the elements, uncorrected, the calculation gives -1057 meV per atom. The value obtained for the density of states at the Fermi level is 0.50 states/eV/atom. The value obtained for the total moment is 0.000 μB per atom.

The space group is Cmcm (No. 63) and the conventional cell measures 4.1368, 10.5730 and 13.5790 Å, with angles of 90.00, 90.00 and 90.00 degrees. The asymmetric unit holds Y at (0.0000, 0.0784, 0.1143), Y at (0.0000, 0.3564, 0.2500), Si at (0.0000, 0.3353, 0.7500), Si at (0.0000, 0.3892, 0.0397) and Rh at (0.0000, 0.2153, 0.5805).

---

7.
DFT (GGA-PBEsol) results for an optimized crystal structure of Y2Si2Rh.

The raw total energy is -153.806 eV per cell. For the energy relative to the elements, uncorrected, the calculation gives -1035 meV per atom. The value obtained for the density of states at the Fermi level is 0.67 states/eV/atom. The value obtained for the total moment is 0.000 μB per atom.

The space group is C2/m (No. 12) and the conventional cell measures 10.4805, 4.1696 and 9.9646 Å, with angles of 90.00, 118.84 and 90.00 degrees. The asymmetric unit holds Y at (0.0034, 0.0000, 0.1762), Y at (0.1848, 0.0000, 0.6078), Si at (0.0104, 0.5000, 0.3781), Si at (0.1415, 0.5000, 0.0658) and Rh at (0.2262, 0.5000, 0.8756).

---

8.
DFT (GGA-PBEsol) results for an optimized crystal structure of YSi2Rh.

The raw total energy is -56.418 eV per cell. For the energy relative to the elements, uncorrected, the calculation gives -439 meV per atom. The value obtained for the density of states at the Fermi level is 0.44 states/eV/atom. The value obtained for the total moment is 0.000 μB per atom.

The space group is I4/mmm (No. 139) and the conventional cell measures 4.5448, 4.5448 and 6.3435 Å, with angles of 90.00, 90.00 and 90.00 degrees. The asymmetric unit holds Y at (0.0000, 0.0000, 0.0000), Si at (0.0000, 0.5000, 0.2500) and Rh at (0.0000, 0.0000, 0.5000).